Crystalline Ca3Zn2Ni6 at its relaxed geometry, computed with PBE-GGA.

a = 7.7485 Å, b = 7.7485 Å, c = 7.7485 Å
α = 109.47°, β = 109.47°, γ = 109.47°
Fractional coordinates of all 22 atoms:
Ca: 0.0000 0.2908 0.2908
Ca: 0.0000 0.7092 0.7092
Ca: 0.2908 0.0000 0.2908
Ca: 0.2908 0.2908 0.0000
Ca: 0.7092 0.0000 0.7092
Ca: 0.7092 0.7092 0.0000
Zn: 0.0000 0.0000 0.5000
Zn: 0.0000 0.5000 0.0000
Zn: 0.5000 0.0000 0.0000
Zn: 0.5000 0.5000 0.5000
Ni: 0.0000 0.3363 0.6637
Ni: 0.0000 0.6637 0.3363
Ni: 0.3274 0.6637 0.6637
Ni: 0.3363 0.0000 0.6637
Ni: 0.3363 0.3363 0.6726
Ni: 0.3363 0.6637 0.0000
Ni: 0.3363 0.6726 0.3363
Ni: 0.6637 0.0000 0.3363
Ni: 0.6637 0.3274 0.6637
Ni: 0.6637 0.3363 0.0000
Ni: 0.6637 0.6637 0.3274
Ni: 0.6726 0.3363 0.3363

## Properties
Calculated total energy (eV per cell): -91.29
Formation energy (eV per atom): -0.219
Size of the total moment (μB/f.u.): 0.00
Space group: Im-3m (229)